! PrSbMo2O9, optimized geometry, DFT GGA+U; values from VASP
&SYSTEM
  ibrav = 0, nat = 52, ntyp = 4
/
ATOMIC_SPECIES
Pr 140.91 Pr.upf
Sb 121.76 Sb.upf
Mo 95.94 Mo.upf
O 16.00 O.upf
CELL_PARAMETERS angstrom
6.657 -7.396 0.000
6.657 7.396 0.000
-6.107 0.000 9.280
ATOMIC_POSITIONS crystal
Pr 0.124 0.876 0.750
Pr 0.325 0.675 0.250
Pr 0.675 0.325 0.750
Pr 0.876 0.124 0.250
Sb 0.355 0.376 0.461
Sb 0.376 0.355 0.961
Sb 0.624 0.645 0.039
Sb 0.645 0.624 0.539
Mo 0.050 0.259 0.025
Mo 0.061 0.436 0.695
Mo 0.259 0.050 0.525
Mo 0.436 0.061 0.195
Mo 0.564 0.939 0.805
Mo 0.741 0.950 0.475
Mo 0.939 0.564 0.305
Mo 0.950 0.741 0.975
O 0.014 0.692 0.490
O 0.051 0.225 0.173
O 0.066 0.098 0.899
O 0.087 0.559 0.251
O 0.098 0.066 0.399
O 0.123 0.705 0.063
O 0.138 0.618 0.721
O 0.214 0.377 0.801
O 0.218 0.404 0.075
O 0.225 0.051 0.673
O 0.295 0.877 0.437
O 0.308 0.986 0.010
O 0.377 0.214 0.301
O 0.382 0.862 0.779
O 0.404 0.218 0.575
O 0.424 0.540 0.403
O 0.441 0.913 0.249
O 0.460 0.576 0.097
O 0.540 0.424 0.903
O 0.559 0.087 0.751
O 0.576 0.460 0.597
O 0.596 0.782 0.425
O 0.618 0.138 0.221
O 0.623 0.786 0.699
O 0.692 0.014 0.990
O 0.705 0.123 0.563
O 0.775 0.949 0.327
O 0.782 0.596 0.925
O 0.786 0.623 0.199
O 0.862 0.382 0.279
O 0.877 0.295 0.937
O 0.902 0.934 0.601
O 0.913 0.441 0.749
O 0.934 0.902 0.101
O 0.949 0.775 0.827
O 0.986 0.308 0.510
! V ... 913.8 Å³ per cell
! Fermi-level density of states ... 0.000 states/eV/atom
! Magnetization ... 0.000 μB per atom
! Energy ... -7.18 eV per atom